Entry 1:
VASP calculation (GGA-PBE) on an optimized crystal structure of NdMgAlPt3.

Lattice parameters (Å, degrees): 5.7337 7.0334 7.0104 120.11 90.00 90.00
Closest atoms and distances in Å follow each position.
Fractional coordinates of all 12 atoms:
1 Al 0.2500 0.3773 0.7547  5 Pt 2.41-2.51
2 Pt 0.0000 0.2965 0.0000  2 Al 2.51, 2 Mg 2.59
3 Pt 0.5000 0.2965 0.0000  2 Al 2.51, 2 Mg 2.59
4 Mg 0.7500 0.0442 0.0884  5 Pt 2.59-2.71
5 Pt 0.0000 0.7035 0.0000  2 Al 2.51, 2 Mg 2.59
6 Al 0.7500 0.6227 0.2453  5 Pt 2.41-2.51
7 Pt 0.2500 0.1790 0.3581  1 Al 2.41
8 Nd 0.7500 0.3024 0.6048  2 Al 3.01, 1 Mg 3.13, 6 Pt 3.14-3.23
9 Pt 0.7500 0.8210 0.6419  1 Al 2.41
10 Mg 0.2500 0.9558 0.9116  5 Pt 2.59-2.71
11 Pt 0.5000 0.7035 0.0000  2 Al 2.51, 2 Mg 2.59
12 Nd 0.2500 0.6976 0.3952  2 Al 3.01, 1 Mg 3.13, 6 Pt 3.14-3.23

Properties
Raw total energy, Ry per atom: -0.3983
Formation enthalpy at 0 K, eV per formula unit: -4.287
Total moment, μB per cell: 0.0


Entry 2:
VASP calculation (GGA-PBE) on an optimized crystal structure of Hf2GaTc.

Lattice parameters (Å, degrees): 7.4728 7.4728 5.9843 51.36 51.36 90.00
Closest atoms and distances in Å follow each position.
Fractional coordinates of all 8 atoms:
1 Hf 0.0923 0.6250 0.2500  2 Tc 2.57, 2 Hf 2.85
2 Hf 0.8750 0.9077 0.7500  2 Tc 2.57, 2 Hf 2.85
3 Tc 0.0000 0.0000 0.0000  4 Hf 2.57, 2 Ga 2.81
4 Ga 0.5000 0.5000 0.0000  2 Tc 2.81, 4 Hf 2.91
5 Hf 0.3750 0.3423 0.7500  2 Tc 2.57, 2 Hf 2.85
6 Tc 0.7500 0.2500 0.5000  4 Hf 2.57, 2 Ga 2.81
7 Ga 0.2500 0.7500 0.5000  2 Tc 2.81, 4 Hf 2.91
8 Hf 0.6577 0.1250 0.2500  2 Tc 2.57, 2 Hf 2.85

Properties
Raw total energy, Ry per atom: -0.5981
Formation enthalpy at 0 K, eV per formula unit: 0.749
Total moment, μB per cell: 0.0


Entry 3:
VASP calculation (GGA-PBE) on an optimized crystal structure of NbRe2Br.

Lattice parameters (Å, degrees): 5.8465 5.8465 6.8530 64.75 64.75 90.00
Closest atoms and distances in Å follow each position.
Fractional coordinates of all 8 atoms:
1 Nb 0.7500 0.2500 0.5000  4 Re 2.54
2 Re 0.3750 0.3931 0.7500  2 Br 2.42, 2 Nb 2.54
3 Nb 0.0000 0.0000 0.0000  4 Re 2.54
4 Br 0.5000 0.5000 0.0000  4 Re 2.42
5 Re 0.1431 0.6250 0.2500  2 Br 2.42, 2 Nb 2.54
6 Re 0.8750 0.8569 0.7500  2 Br 2.42, 2 Nb 2.54
7 Re 0.6069 0.1250 0.2500  2 Br 2.42, 2 Nb 2.54
8 Br 0.2500 0.7500 0.5000  4 Re 2.42

Properties
Raw total energy, Ry per atom: -0.5418
Energy relative to the lowest polymorph listed for this composition, meV per atom: 663
Total moment, μB per cell: 0.0


Entry 4:
VASP calculation (GGA-PBE) on an optimized crystal structure of NpPaAl2.

Lattice parameters (Å, degrees): 2.9224 2.9224 11.6645 82.80 82.80 60.00
Closest atoms and distances in Å follow each position.
Fractional coordinates of all 4 atoms:
1 Pa 0.0000 0.0000 0.0000  6 Pa 2.92, 2 Al 3.10
2 Np 0.5000 0.5000 0.5000  6 Np 2.92, 6 Al 3.16
3 Al 0.9105 0.9105 0.2686  6 Al 2.92, 1 Pa 3.10, 3 Np 3.16
4 Al 0.0895 0.0895 0.7314  6 Al 2.92, 1 Pa 3.10, 3 Np 3.16

Properties
Raw total energy, Ry per atom: -0.5284
Energy relative to the lowest polymorph listed for this composition, meV per atom: 352
Formation enthalpy at 0 K, eV per formula unit: 1.164
Total moment, μB per cell: 2.8


Entry 5:
VASP calculation (GGA-PBE) on an optimized crystal structure of NaDySc.

Lattice parameters (Å, degrees): 3.4119 3.4119 8.9422 90.00 90.00 120.00
Closest atoms and distances in Å follow each position.
Fractional coordinates of all 3 atoms:
1 Sc 0.6667 0.3333 0.3512  3 Dy 3.26, 6 Sc 3.41
2 Dy 0.3333 0.6667 0.6423  3 Sc 3.26, 6 Dy 3.41
3 Na 0.0000 0.0000 0.0064  6 Na 3.41, 3 Sc 3.66, 3 Dy 3.81

Properties
Raw total energy, Ry per atom: -0.2865
Energy relative to the lowest polymorph listed for this composition, meV per atom: 0
Formation enthalpy at 0 K, eV per formula unit: 0.558
Total moment, μB per cell: 0.7


Entry 6:
VASP calculation (GGA-PBE) on an optimized crystal structure of TmTl2InSe4.

Lattice parameters (Å, degrees): 8.6324 8.6325 8.5179 119.56 119.56 90.69
Closest atoms and distances in Å follow each position.
Fractional coordinates of all 16 atoms:
1 Tl 0.5000 0.5000 0.0000  6 Se 3.22-3.25
2 Se 0.7641 0.7360 0.9712  2 In 2.87, 1 Tm 2.91, 2 Tl 3.22
3 In 0.0000 0.0000 0.0000  6 Se 2.87-2.92
4 Tl 0.5000 0.0000 0.0000  6 Se 3.22-3.25
5 Se 0.2359 0.2640 0.0288  2 In 2.87, 1 Tm 2.91, 2 Tl 3.22
6 Tm 0.0000 0.5000 0.5000  6 Se 2.86-2.91
7 Se 0.7927 0.2658 0.0293  2 Tm 2.86, 1 In 2.92
8 Tm 0.0000 0.5000 0.0000  6 Se 2.86-2.91
9 Tl 0.0000 0.0000 0.5000  6 Se 3.22-3.25
10 Se 0.2073 0.7342 0.9707  2 Tm 2.86, 1 In 2.92
11 Se 0.7658 0.2927 0.5293  2 Tm 2.86, 1 In 2.92
12 In 0.5000 0.5000 0.5000  6 Se 2.87-2.92
13 Se 0.2342 0.7073 0.4707  2 Tm 2.86, 1 In 2.92
14 Se 0.2360 0.2641 0.4712  2 In 2.87, 1 Tm 2.91, 2 Tl 3.22
15 Tl 0.5000 0.0000 0.5000  6 Se 3.22-3.25
16 Se 0.7640 0.7359 0.5288  2 In 2.87, 1 Tm 2.91, 2 Tl 3.22

Properties
Raw total energy, Ry per atom: -0.3020
Total moment, μB per cell: 0.0


Entry 7:
VASP calculation (GGA-PBE) on an optimized crystal structure of Ag2SbPb.

Lattice parameters (Å, degrees): 4.4124 6.4120 7.2962 90.00 90.00 110.13
Closest atoms and distances in Å follow each position.
Fractional coordinates of all 8 atoms:
1 Ag 0.3816 0.7632 0.5535  3 Sb 2.86-2.96, 2 Ag 2.87-2.96
2 Ag 0.6184 0.2368 0.4465  3 Sb 2.86-2.96, 2 Ag 2.87-2.96
3 Sb 0.7691 0.5383 0.7500  6 Ag 2.86-2.96
4 Pb 0.9540 0.9080 0.2500  8 Ag 3.25-3.29, 3 Sb 3.33-3.48
5 Pb 0.0460 0.0920 0.7500  8 Ag 3.25-3.29, 3 Sb 3.33-3.48
6 Sb 0.2309 0.4617 0.2500  6 Ag 2.86-2.96
7 Ag 0.3816 0.7632 0.9465  3 Sb 2.86-2.96, 2 Ag 2.87-2.96
8 Ag 0.6184 0.2368 0.0535  3 Sb 2.86-2.96, 2 Ag 2.87-2.96

Properties
Raw total energy, Ry per atom: -0.2432
Total moment, μB per cell: 0.0


Entry 8:
VASP calculation (GGA-PBE) on an optimized crystal structure of SmPuMnFe.

Lattice parameters (Å, degrees): 4.8151 4.8151 4.8151 60.00 60.00 60.00
Closest atoms and distances in Å follow each position.
Fractional coordinates of all 4 atoms:
1 Pu 0.2500 0.2500 0.2500  4 Mn 2.95, 4 Fe 2.95
2 Fe 0.5000 0.5000 0.5000  4 Sm 2.95, 4 Pu 2.95
3 Mn 0.0000 0.0000 0.0000  4 Sm 2.95, 4 Pu 2.95
4 Sm 0.7500 0.7500 0.7500  4 Mn 2.95, 4 Fe 2.95

Properties
Raw total energy, Ry per atom: -0.6612
Formation enthalpy at 0 K, eV per formula unit: 0.701
Total moment, μB per cell: 1.2


Entry 9:
VASP calculation (GGA-PBE) on an optimized crystal structure of CeReSi2.

Lattice parameters (Å, degrees): 3.4959 4.7631 4.7631 101.37 90.00 90.00
Closest atoms and distances in Å follow each position.
Fractional coordinates of all 4 atoms:
1 Si 0.5000 0.1123 0.5021  1 Si 2.33, 2 Re 2.40-2.45
2 Re 0.5000 0.5979 0.4021  4 Si 2.40-2.45
3 Si 0.5000 0.4979 0.8877  1 Si 2.33, 2 Re 2.40-2.45
4 Ce 0.0000 0.0070 0.9930  8 Si 2.95-3.04

Properties
Raw total energy, Ry per atom: -0.5483
Total moment, μB per cell: 0.3


Entry 10:
VASP calculation (GGA-PBE) on an optimized crystal structure of BaNaLi2.

Lattice parameters (Å, degrees): 3.9695 3.9695 11.0589 79.66 79.66 60.00
Closest atoms and distances in Å follow each position.
Fractional coordinates of all 4 atoms:
1 Ba 0.4997 0.4997 0.5009  6 Li 3.72-3.74, 6 Ba 3.97
2 Li 0.2573 0.2573 0.2281  3 Na 3.38, 3 Ba 3.74
3 Li 0.0760 0.0760 0.7719  3 Na 3.36, 3 Ba 3.72
4 Na 0.6670 0.6670 0.9991  6 Li 3.36-3.38

Properties
Raw total energy, Ry per atom: -0.1180
Energy relative to the lowest polymorph listed for this composition, meV per atom: 90
Formation enthalpy at 0 K, eV per formula unit: 0.648
Total moment, μB per cell: 0.0


Entry 11:
VASP calculation (GGA-PBE) on an optimized crystal structure of BiAsClO4.

Lattice parameters (Å, degrees): 6.1278 6.1278 6.8054 76.54 76.54 71.62
Closest atoms and distances in Å follow each position.
Fractional coordinates of all 14 atoms:
1 O 0.8600 0.5022 0.8715  1 As 1.75
2 O 0.5313 0.5313 0.2832  1 As 1.70
3 Bi 0.7671 0.7671 0.1292  6 O 2.28-2.51
4 Bi 0.2329 0.2329 0.8708  6 O 2.28-2.51
5 O 0.4978 0.1400 0.1285  1 As 1.75
6 O 0.7484 0.7484 0.4787  1 As 1.72
7 As 0.6385 0.6385 0.7245  4 O 1.70-1.75
8 As 0.3615 0.3615 0.2755  4 O 1.70-1.75
9 Cl 0.0192 0.0192 0.2380  1 O 2.72, 2 Bi 2.78-2.81
10 O 0.1400 0.4978 0.1285  1 As 1.75
11 O 0.4687 0.4687 0.7168  1 As 1.70
12 Cl 0.9808 0.9808 0.7620  1 O 2.72, 2 Bi 2.78-2.81
13 O 0.2516 0.2516 0.5213  1 As 1.72
14 O 0.5022 0.8600 0.8715  1 As 1.75

Properties
Raw total energy, Ry per atom: -0.3866
Total moment, μB per cell: 0.0


Entry 12:
VASP calculation (GGA-PBE) on an optimized crystal structure of LiCa2NiPb.

Lattice parameters (Å, degrees): 5.4523 5.4523 4.9460 90.00 90.00 90.00
Closest atoms and distances in Å follow each position.
Fractional coordinates of all 5 atoms:
1 Pb 0.0000 0.0000 0.5000  2 Ni 2.47
2 Li 0.5000 0.5000 0.5000  8 Ca 3.68, 4 Pb 3.86
3 Ni 0.0000 0.0000 0.0000  2 Pb 2.47, 4 Ca 2.73
4 Ca 0.0000 0.5000 0.0000  2 Ni 2.73
5 Ca 0.5000 0.0000 0.0000  2 Ni 2.73

Properties
Raw total energy, Ry per atom: -0.2356
Formation enthalpy at 0 K, eV per formula unit: -0.622
Total moment, μB per cell: 0.0


Entry 13:
VASP calculation (GGA-PBE) on an optimized crystal structure of MnTl5.

Lattice parameters (Å, degrees): 5.8113 5.8113 5.8662 90.00 90.00 120.00
Closest atoms and distances in Å follow each position.
Fractional coordinates of all 6 atoms:
1 Mn 0.0000 0.0000 0.5000  12 Tl 3.36-3.49
2 Tl 0.3261 0.3261 0.0000  10 Tl 3.28-3.53, 2 Mn 3.49
3 Tl 0.6667 0.3333 0.5000  3 Mn 3.36, 9 Tl 3.36-3.53
4 Tl 0.6739 0.0000 0.0000  10 Tl 3.28-3.53, 2 Mn 3.49
5 Tl 0.3333 0.6667 0.5000  3 Mn 3.36, 9 Tl 3.36-3.53
6 Tl 0.0000 0.6739 0.0000  10 Tl 3.28-3.53, 2 Mn 3.49

Properties
Raw total energy, Ry per atom: -0.2352
Energy relative to the lowest polymorph listed for this composition, meV per atom: 64
Formation enthalpy at 0 K, eV per formula unit: 1.799
Total moment, μB per cell: 4.5